The following is a DFT calculation (GGA-PBE) of a relaxed Sr3ZnIr2 crystal.

Values from the calculation:
crystal system: monoclinic
SG: No. 11

Lattice parameters (Å, degrees): 4.6796 9.5413 7.7543 90.00 107.43 90.00
Last column: nearest neighbours and their distance in Å.
Positions (direct):
Sr 0.1373 0.2500 0.2717  1 Zn 2.97, 4 Ir 3.04-3.12
Sr 0.3611 0.0464 0.7237  5 Ir 3.13-3.41, 2 Zn 3.23
Sr 0.3611 0.4536 0.7237  5 Ir 3.13-3.41, 2 Zn 3.23
Sr 0.6389 0.5464 0.2763  5 Ir 3.13-3.41, 2 Zn 3.23
Sr 0.6389 0.9536 0.2763  5 Ir 3.13-3.41, 2 Zn 3.23
Sr 0.8627 0.7500 0.7283  1 Zn 2.97, 4 Ir 3.04-3.12
Zn 0.0670 0.7500 0.1294  3 Ir 2.49-2.57
Zn 0.9330 0.2500 0.8706  3 Ir 2.49-2.57
Ir 0.0000 0.0000 0.0000  2 Zn 2.57
Ir 0.0000 0.5000 0.0000  2 Zn 2.57
Ir 0.2327 0.7500 0.4664  1 Zn 2.49
Ir 0.7673 0.2500 0.5336  1 Zn 2.49

---

The following is a DFT calculation (GGA-PBE) of a relaxed SrZn3Ir crystal.

Values from the calculation:
crystal system: triclinic
SG: No. 1
energy above the lowest structure with this stoichiometry: 0.067 eV/atom

Lattice parameters (Å, degrees): 4.2763 5.6834 8.6548 99.52 104.22 90.06
Last column: nearest neighbours and their distance in Å.
Positions (direct):
Sr 0.0000 0.0000 0.0000  3 Ir 3.01-3.18, 4 Zn 3.28-3.37
Sr 0.2960 0.6635 0.5927  3 Zn 3.00-3.26, 1 Ir 3.28
Zn 0.0992 0.5494 0.1982  6 Zn 2.64-2.79, 1 Ir 2.87
Zn 0.3700 0.2183 0.7399  3 Zn 2.56-2.67, 2 Ir 2.59
Zn 0.5046 0.5449 0.0099  2 Ir 2.53, 5 Zn 2.65-2.83
Zn 0.6474 0.3388 0.2943  2 Ir 2.62-2.63, 6 Zn 2.63-2.89
Zn 0.6524 0.8501 0.3043  6 Zn 2.65-2.89, 2 Ir 2.65
Zn 0.7850 0.1775 0.5700  4 Zn 2.56-2.65, 3 Ir 2.58-2.66
Ir 0.1900 0.1231 0.3793  6 Zn 2.62-2.66
Ir 0.9253 0.4464 0.8508  5 Zn 2.53-2.59

---

The following is a DFT calculation (GGA-PBE) of a relaxed SrZrIr crystal.

Values from the calculation:
crystal system: cubic
SG: No. 216
energy above the lowest structure with this stoichiometry: 1.714 eV/atom

Lattice parameters (Å, degrees): 4.7079 4.7079 4.7079 60.00 60.00 60.00
Last column: nearest neighbours and their distance in Å.
Positions (direct):
Sr 0.0000 0.0000 0.0000  4 Zr 2.88, 4 Ir 2.88
Zr 0.7500 0.7500 0.7500  4 Sr 2.88
Ir 0.2500 0.2500 0.2500  4 Sr 2.88

---

The following is a DFT calculation (GGA-PBE) of a relaxed SrZr3Ir crystal.

Values from the calculation:
crystal system: cubic
SG: No. 221
energy above the lowest structure with this stoichiometry: 0.000 eV/atom

Lattice parameters (Å, degrees): 5.2098 5.2098 5.2098 90.00 90.00 90.00
Last column: nearest neighbours and their distance in Å.
Positions (direct):
Sr 0.0000 0.0000 0.0000  12 Zr 3.68
Zr 0.0000 0.5000 0.5000  2 Ir 2.60
Zr 0.5000 0.0000 0.5000  2 Ir 2.60
Zr 0.5000 0.5000 0.0000  2 Ir 2.60
Ir 0.5000 0.5000 0.5000  6 Zr 2.60

---

The following is a DFT calculation (GGA-PBE) of a relaxed SrZr2Ir2 crystal.

Values from the calculation:
crystal system: tetragonal
SG: No. 139
energy above the lowest structure with this stoichiometry: 0.447 eV/atom

Lattice parameters (Å, degrees): 6.3076 6.3076 6.3076 134.13 134.13 66.88
Last column: nearest neighbours and their distance in Å.
Positions (direct):
Sr 0.0000 0.0000 0.0000  8 Ir 3.60, 10 Zr 3.62-3.85
Zr 0.3436 0.3436 0.0000  4 Ir 2.65
Zr 0.6564 0.6564 0.0000  4 Ir 2.65
Ir 0.2500 0.7500 0.5000  4 Zr 2.65
Ir 0.7500 0.2500 0.5000  4 Zr 2.65

---

The following is a DFT calculation (GGA-PBE) of a relaxed SrZrIr crystal.

Values from the calculation:
crystal system: tetragonal
SG: No. 107
energy above the lowest structure with this stoichiometry: 0.292 eV/atom

Lattice parameters (Å, degrees): 6.8920 6.8920 6.8920 150.59 150.59 42.07
Last column: nearest neighbours and their distance in Å.
Positions (direct):
Sr 0.0000 0.0000 0.0000  4 Ir 3.36, 1 Zr 3.39, 4 Sr 3.50
Zr 0.7362 0.7362 0.0000  4 Ir 2.71
Ir 0.3227 0.3227 0.0000  4 Zr 2.71

---

The following is a DFT calculation (GGA-PBE) of a relaxed SrZr2Ir crystal.

Values from the calculation:
crystal system: trigonal
SG: No. 160
energy above the lowest structure with this stoichiometry: 0.331 eV/atom

Lattice parameters (Å, degrees): 9.8844 9.8844 9.8844 20.42 20.42 20.42
Last column: nearest neighbours and their distance in Å.
Positions (direct):
Sr 0.0000 0.0000 0.0000  3 Ir 3.08
Zr 0.2246 0.2246 0.2246  9 Zr 3.24-3.50
Zr 0.4706 0.4706 0.4706  3 Ir 2.62
Ir 0.7465 0.7465 0.7465  3 Zr 2.62

---

The following is a DFT calculation (GGA-PBE) of a relaxed SrZrIr2 crystal.

Values from the calculation:
crystal system: monoclinic
SG: No. 8
energy above the lowest structure with this stoichiometry: 0.366 eV/atom

Lattice parameters (Å, degrees): 5.6721 5.6721 5.1579 102.84 102.84 29.99
Last column: nearest neighbours and their distance in Å.
Positions (direct):
Sr 0.0000 0.0000 0.0000  2 Sr 2.93, 7 Ir 2.95-3.17, 1 Zr 3.22
Zr 0.8024 0.8024 0.3757  2 Zr 2.93, 7 Ir 2.95-3.14, 1 Sr 3.22
Ir 0.2375 0.2375 0.8227  4 Ir 2.68-2.93, 1 Sr 2.95, 2 Zr 2.95
Ir 0.5529 0.5529 0.5234  4 Ir 2.68-2.93, 1 Zr 3.00

---

The following is a DFT calculation (GGA-PBE) of a relaxed Sr3ZrIr crystal.

Values from the calculation:
crystal system: cubic
SG: No. 221
energy above the lowest structure with this stoichiometry: 0.000 eV/atom

Lattice parameters (Å, degrees): 5.8001 5.8001 5.8001 90.00 90.00 90.00
Last column: nearest neighbours and their distance in Å.
Positions (direct):
Sr 0.0000 0.0000 0.5000  2 Ir 2.90
Sr 0.0000 0.5000 0.0000  2 Ir 2.90
Sr 0.5000 0.0000 0.0000  2 Ir 2.90
Zr 0.5000 0.5000 0.5000  12 Sr 4.10
Ir 0.0000 0.0000 0.0000  6 Sr 2.90

---

The following is a DFT calculation (GGA-PBE) of a relaxed SrZr2Ir crystal.

Values from the calculation:
crystal system: orthorhombic
SG: No. 65
energy above the lowest structure with this stoichiometry: 0.611 eV/atom

Lattice parameters (Å, degrees): 5.7552 5.7552 3.0942 90.00 90.00 119.66
Last column: nearest neighbours and their distance in Å.
Positions (direct):
Sr 0.0000 0.0000 0.0000  2 Ir 2.89, 2 Sr 3.09
Zr 0.0000 0.5000 0.5000  4 Zr 2.89-3.09
Zr 0.5000 0.0000 0.5000  4 Zr 2.89-3.09
Ir 0.5000 0.5000 0.0000  2 Sr 2.89, 2 Ir 3.09

---

The following is a DFT calculation (GGA-PBE) of a relaxed SrZr2Ir crystal.

Values from the calculation:
crystal system: monoclinic
SG: No. 12
energy above the lowest structure with this stoichiometry: 0.082 eV/atom

Lattice parameters (Å, degrees): 6.2056 6.2056 5.4480 113.39 113.39 31.01
Last column: nearest neighbours and their distance in Å.
Positions (direct):
Sr 0.0000 0.0000 0.0000  4 Ir 3.19, 2 Sr 3.32, 4 Zr 3.45-3.51
Zr 0.1984 0.1984 0.6871  2 Ir 2.73
Zr 0.8016 0.8016 0.3129  2 Ir 2.73
Ir 0.5000 0.5000 0.5000  4 Zr 2.73

---

The following is a DFT calculation (GGA-PBE) of a relaxed SrZrIr2 crystal.

Values from the calculation:
crystal system: orthorhombic
SG: No. 47
energy above the lowest structure with this stoichiometry: 0.000 eV/atom

Lattice parameters (Å, degrees): 3.2538 3.3645 7.5298 90.00 90.00 90.00
Last column: nearest neighbours and their distance in Å.
Positions (direct):
Sr 0.0000 0.0000 0.0000  8 Ir 3.23, 4 Sr 3.25-3.36
Zr 0.0000 0.0000 0.5000  8 Ir 2.80
Ir 0.5000 0.5000 0.2955  4 Zr 2.80, 1 Ir 3.08
Ir 0.5000 0.5000 0.7045  4 Zr 2.80, 1 Ir 3.08

---

The following is a DFT calculation (GGA-PBE) of a relaxed SrZr2Ir2 crystal.

Values from the calculation:
crystal system: tetragonal
SG: No. 127
energy above the lowest structure with this stoichiometry: 0.211 eV/atom

Lattice parameters (Å, degrees): 8.2254 8.2254 3.0728 90.00 90.00 90.00
Last column: nearest neighbours and their distance in Å.
Positions (direct):
Sr 0.0000 0.0000 0.0000  2 Sr 3.07, 4 Zr 3.17
Sr 0.5000 0.5000 0.0000  2 Sr 3.07, 4 Zr 3.17
Zr 0.1414 0.3586 0.0000  6 Ir 2.85-2.87, 2 Zr 3.07, 2 Sr 3.17
Zr 0.3586 0.8586 0.0000  6 Ir 2.85-2.87, 2 Zr 3.07, 2 Sr 3.17
Zr 0.6414 0.1414 0.0000  6 Ir 2.85-2.87, 2 Zr 3.07, 2 Sr 3.17
Zr 0.8586 0.6414 0.0000  6 Ir 2.85-2.87, 2 Zr 3.07, 2 Sr 3.17
Ir 0.1499 0.6499 0.5000  6 Zr 2.85-2.87, 2 Ir 3.07
Ir 0.3501 0.1499 0.5000  6 Zr 2.85-2.87, 2 Ir 3.07
Ir 0.6499 0.8501 0.5000  6 Zr 2.85-2.87, 2 Ir 3.07
Ir 0.8501 0.3501 0.5000  6 Zr 2.85-2.87, 2 Ir 3.07

---

The following is a DFT calculation (GGA-PBE) of a relaxed SrZrIr2 crystal.

Values from the calculation:
crystal system: trigonal
SG: No. 166
energy above the lowest structure with this stoichiometry: 0.219 eV/atom

Lattice parameters (Å, degrees): 6.0223 6.0223 6.0223 44.04 44.04 44.04
Last column: nearest neighbours and their distance in Å.
Positions (direct):
Sr 0.0000 0.0000 0.0000  8 Ir 3.33-3.36
Zr 0.5000 0.5000 0.5000  6 Ir 2.69
Ir 0.2064 0.2064 0.2064  3 Zr 2.69, 3 Ir 2.91
Ir 0.7936 0.7936 0.7936  3 Zr 2.69, 3 Ir 2.91

---

The following is a DFT calculation (GGA-PBE) of a relaxed SrZrIr2 crystal.

Values from the calculation:
crystal system: tetragonal
SG: No. 119
energy above the lowest structure with this stoichiometry: 0.560 eV/atom

Lattice parameters (Å, degrees): 5.6251 5.6251 5.6251 137.53 137.53 61.62
Last column: nearest neighbours and their distance in Å.
Positions (direct):
Sr 0.0000 0.0000 0.0000  8 Ir 2.88-3.16, 4 Zr 3.16
Zr 0.2500 0.7500 0.5000  8 Ir 2.88-3.16, 4 Sr 3.16
Ir 0.5000 0.5000 0.0000  4 Sr 2.88, 4 Zr 3.16, 4 Ir 3.16
Ir 0.7500 0.2500 0.5000  4 Zr 2.88, 4 Ir 3.16, 4 Sr 3.16

---

The following is a DFT calculation (GGA-PBE) of a relaxed SrZr3Ir crystal.

Values from the calculation:
crystal system: cubic
SG: No. 221
energy above the lowest structure with this stoichiometry: 2.003 eV/atom

Lattice parameters (Å, degrees): 4.9437 4.9437 4.9437 90.00 90.00 90.00
Last column: nearest neighbours and their distance in Å.
Positions (direct):
Sr 0.0000 0.0000 0.0000  6 Zr 2.47
Zr 0.0000 0.0000 0.5000  2 Sr 2.47
Zr 0.0000 0.5000 0.0000  2 Sr 2.47
Zr 0.5000 0.0000 0.0000  2 Sr 2.47
Ir 0.5000 0.5000 0.5000  12 Zr 3.50

---

The following is a DFT calculation (GGA-PBE) of a relaxed SrZrIr2 crystal.

Values from the calculation:
crystal system: tetragonal
SG: No. 122
energy above the lowest structure with this stoichiometry: 0.531 eV/atom

Lattice parameters (Å, degrees): 6.1789 6.1789 6.1789 104.80 104.80 119.28
Last column: nearest neighbours and their distance in Å.
Positions (direct):
Sr 0.0000 0.0000 0.0000  4 Ir 2.97, 2 Zr 3.12
Sr 0.7500 0.2500 0.5000  4 Ir 2.97, 2 Zr 3.12
Zr 0.2500 0.7500 0.5000  4 Ir 2.60
Zr 0.5000 0.5000 0.0000  4 Ir 2.60
Ir 0.1609 0.6250 0.0359  2 Zr 2.60
Ir 0.3750 0.4109 0.5359  2 Zr 2.60
Ir 0.5891 0.1250 0.9641  2 Zr 2.60
Ir 0.8750 0.8391 0.4641  2 Zr 2.60

---

The following is a DFT calculation (GGA-PBE) of a relaxed SrZrIr2 crystal.

Values from the calculation:
crystal system: orthorhombic
SG: No. 25
energy above the lowest structure with this stoichiometry: 0.511 eV/atom

Lattice parameters (Å, degrees): 3.1885 4.3189 6.4915 90.00 90.00 90.00
Last column: nearest neighbours and their distance in Å.
Positions (direct):
Sr 0.0000 0.0000 0.0000  6 Ir 3.03-3.27, 2 Sr 3.19
Zr 0.5000 0.5000 0.4040  1 Ir 2.46
Ir 0.0000 0.0000 0.5043  4 Zr 2.76
Ir 0.5000 0.5000 0.7823  1 Zr 2.46

---

The following is a DFT calculation (GGA-PBE) of a relaxed SrZrIr2 crystal.

Values from the calculation:
crystal system: cubic
SG: No. 216
energy above the lowest structure with this stoichiometry: 0.699 eV/atom

Lattice parameters (Å, degrees): 4.7588 4.7588 4.7588 60.00 60.00 60.00
Last column: nearest neighbours and their distance in Å.
Positions (direct):
Sr 0.0000 0.0000 0.0000  4 Zr 2.91, 4 Ir 2.91
Zr 0.2500 0.2500 0.2500  4 Ir 2.91, 4 Sr 2.91
Ir 0.5000 0.5000 0.5000  4 Zr 2.91, 4 Ir 2.91
Ir 0.7500 0.7500 0.7500  4 Ir 2.91, 4 Sr 2.91

---

The following is a DFT calculation (GGA-PBE) of a relaxed SrZrIr2 crystal.

Values from the calculation:
crystal system: cubic
SG: No. 225
energy above the lowest structure with this stoichiometry: 0.287 eV/atom

Lattice parameters (Å, degrees): 4.8379 4.8379 4.8379 60.00 60.00 60.00
Last column: nearest neighbours and their distance in Å.
Positions (direct):
Sr 0.0000 0.0000 0.0000  8 Ir 2.96
Zr 0.5000 0.5000 0.5000  8 Ir 2.96
Ir 0.2500 0.2500 0.2500  4 Zr 2.96, 4 Sr 2.96
Ir 0.7500 0.7500 0.7500  4 Sr 2.96, 4 Zr 2.96

---

Calculated formation energy from the elements (meV per atom), listed in the same order as above: -143.3; -269.2; 1179.0; 88.4; -214.7; -242.5; 134.2; -129.9; 523.7; 413.9; -114.3; -495.8; -450.3; -277.2; 64.1; 2091.0; 35.5; 14.9; 203.0; -208.8
Calculated total DFT energy (no corrections) (eV/atom), listed in the same order as above: -4.150; -3.142; -5.185; -7.149; -7.515; -6.606; -6.776; -7.118; -3.967; -6.496; -7.024; -7.484; -7.750; -7.265; -6.924; -5.146; -6.953; -6.973; -6.785; -7.197